No. 1
## Cs5K3Rb6 (PBE)

Data for a relaxed structure of Cs5K3Rb6.

Its energy of formation from the pure elements is 0.0247 eV/atom. Its total magnetization is 0.00 μB per atom. Its space-group type is Immm. Its density of states at the Fermi level is 13.62 states/eV/f.u.

a b c (Å): 14.119 14.119 14.119
angles (deg): 146.48 117.43 72.88
Element x y z (fractional)
Cs1 0.000 0.000 0.000
Cs2 0.223 0.894 0.328
Cs3 0.434 0.106 0.328
Cs4 0.566 0.894 0.672
Cs5 0.777 0.106 0.672
K1 0.190 0.500 0.690
K2 0.500 0.500 0.000
K3 0.810 0.500 0.310
Rb1 0.131 0.287 0.844
Rb2 0.176 0.676 0.500
Rb3 0.443 0.287 0.156
Rb4 0.557 0.713 0.844
Rb5 0.824 0.324 0.500
Rb6 0.869 0.713 0.156

---

No. 2
## Cs4K3Rb2 (PBE)

Data for a relaxed structure of Cs4K3Rb2.

Its energy of formation from the pure elements is 0.0094 eV/atom. Its total magnetization is 0.00 μB per atom. Its space-group type is C2/m. Its density of states at the Fermi level is 8.82 states/eV/f.u.

a b c (Å): 13.100 13.100 13.357
angles (deg): 109.74 109.74 23.27
Element x y z (fractional)
Cs1 0.027 0.027 0.330
Cs2 0.300 0.300 0.683
Cs3 0.700 0.700 0.317
Cs4 0.973 0.973 0.670
K1 0.364 0.364 0.343
K2 0.500 0.500 0.000
K3 0.636 0.636 0.657
Rb1 0.162 0.162 0.971
Rb2 0.838 0.838 0.029